LuPuPaIn | GGA-PBE | relaxed

Values from the calculation:
The calculated formation energy comes out at 100 meV per atom. Its volume is 25.24 A^3/atom.

Unit cell a=7.392 b=7.392 c=7.392 alpha=90.00 beta=90.00 gamma=90.00
Atoms (fractional coordinates):
Lu: 0.000 0.000 0.000
Lu: 0.000 0.500 0.500
Lu: 0.500 0.000 0.500
Lu: 0.500 0.500 0.000
Pu: 0.000 0.000 0.500
Pu: 0.000 0.500 0.000
Pu: 0.500 0.000 0.000
Pu: 0.500 0.500 0.500
Pa: 0.250 0.250 0.750
Pa: 0.250 0.750 0.250
Pa: 0.750 0.250 0.250
Pa: 0.750 0.750 0.750
In: 0.250 0.250 0.250
In: 0.250 0.750 0.750
In: 0.750 0.250 0.750
In: 0.750 0.750 0.250

SrPmY2 | GGA-PBE | relaxed

Values from the calculation:
The calculated formation energy comes out at 112 meV per atom. The energy above the most stable polymorph in this dataset comes out at 0.000 eV per formula unit. Its volume is 36.40 A^3/atom.

Unit cell a=3.708 b=3.708 c=36.674 alpha=90.00 beta=90.00 gamma=120.00
Atoms (fractional coordinates):
Sr: 0.000 0.000 0.000
Sr: 0.333 0.667 0.667
Sr: 0.667 0.333 0.333
Pm: 0.000 0.000 0.166
Pm: 0.333 0.667 0.832
Pm: 0.667 0.333 0.499
Y: 0.000 0.000 0.577
Y: 0.000 0.000 0.755
Y: 0.333 0.667 0.244
Y: 0.333 0.667 0.422
Y: 0.667 0.333 0.088
Y: 0.667 0.333 0.911

ZrScCo2 | GGA-PBE | relaxed

Values from the calculation:
The calculated formation energy comes out at -63 meV per atom. Its volume is 16.38 A^3/atom.

Unit cell a=3.062 b=4.060 c=5.270 alpha=90.00 beta=90.00 gamma=90.00
Atoms (fractional coordinates):
Zr: 0.000 0.000 0.000
Sc: 0.500 0.500 0.615
Co: 0.000 0.000 0.491
Co: 0.500 0.500 0.134